Here is a geometry-optimized BaUNiN3 structure from the Alexandria database. Energies are from PBE-GGA.

Cell and atoms, written as extended XYZ:
```
12
Lattice="3.572 0.000 0.000 0.000 7.618 0.346 0.000 -2.564 7.163" Properties=species:S:1:pos:R:3 pbc="T T T"
N 2.679 6.057 1.241
N 2.679 0.012 3.969
N 0.893 5.042 3.540
N 0.893 1.792 6.356
N 0.893 -1.003 6.268
N 2.679 3.262 1.153
U 0.893 4.741 1.382
U 2.679 0.313 6.127
Ba 0.893 0.962 1.882
Ba 2.679 4.092 5.627
Ni 0.893 -0.954 4.282
Ni 2.679 6.008 3.227
```

Properties
The value obtained for the total energy is -8.1630 eV/atom. The value obtained for the magnetization is 0.00 μB/f.u. As for the space-group type: P2_1/m (11). Its energy relative to the elements, uncorrected is -0.835 eV per atom.

---

Here is a geometry-optimized CdIn14Hg structure from the Alexandria database. Energies are from PBE-GGA.

Cell and atoms, written as extended XYZ:
```
16
Lattice="-0.050 -4.649 5.679 -4.425 -4.510 -3.733 6.387 -3.763 -3.024" Properties=species:S:1:pos:R:3 pbc="T T T"
In 1.046 -4.430 2.308
In -1.678 -3.435 0.730
In 1.490 -7.641 2.057
In 1.071 -2.108 -0.529
In -0.697 -7.571 -2.649
In 1.960 -8.525 -1.036
In -1.165 -6.684 0.443
In 4.195 -3.948 -2.008
In -1.140 -4.361 -2.394
In 1.984 -6.202 -3.873
In -3.891 -5.690 -1.137
In -1.703 -5.759 3.569
In 4.170 -6.271 0.829
In -3.916 -8.014 1.703
Cd -0.722 -9.896 0.190
Hg 1.515 -5.316 -0.782
```

Properties
The value obtained for the total energy is -2.4502 eV/atom. The value obtained for the magnetization is 0.00 μB/f.u. As for the space-group type: P4/mmm (123). The value obtained for the formation energy is 0.02 eV per atom.

---

Here is a geometry-optimized KZrGaO4 structure from the Alexandria database. Energies are from PBE-GGA.

Cell and atoms, written as extended XYZ:
```
14
Lattice="5.514 0.000 -0.628 0.000 5.794 0.000 -2.925 0.000 7.341" Properties=species:S:1:pos:R:3 pbc="T T T"
Zr 3.054 4.345 2.979
Zr -0.465 1.448 3.734
Ga 2.314 1.448 4.456
Ga 0.276 4.345 2.257
O -1.858 2.783 4.920
O 1.215 4.345 3.882
O 1.374 1.448 2.831
O 0.792 1.448 5.475
O 1.798 4.345 1.238
O -1.858 0.114 4.920
O 4.447 3.010 1.793
O 4.447 5.680 1.793
K 0.367 4.345 6.309
K 2.222 1.448 0.404
```

Properties
The value obtained for the total energy is -7.0066 eV/atom. The value obtained for the magnetization is 0.00 μB/f.u. As for the space-group type: P2_1/m (11). Its energy relative to the elements, uncorrected is -2.363 eV per atom.

---

Here is a geometry-optimized MoPt2 structure from the Alexandria database. Energies are from PBE-GGA.

Cell and atoms, written as extended XYZ:
```
3
Lattice="3.842 0.000 -0.001 0.000 3.838 0.000 -1.917 -1.919 3.705" Properties=species:S:1:pos:R:3 pbc="T T T"
Pt 1.922 0.000 1.851
Pt 0.002 1.919 1.853
Mo 0.000 0.000 0.000
```

Properties
The value obtained for the total energy is -7.5295 eV/atom. The value obtained for the magnetization is 0.54 μB/f.u. As for the space-group type: I4/mmm (139). The value obtained for the formation energy is 0.11 eV per atom. As for the relative energy among the computed polymorphs: 487 meV per atom.

---

Here is a geometry-optimized Ac3SbRu structure from the Alexandria database. Energies are from PBE-GGA.

Cell and atoms, written as extended XYZ:
```
20
Lattice="4.654 0.000 0.000 0.000 9.136 0.000 0.000 0.000 16.197" Properties=species:S:1:pos:R:3 pbc="T T T"
Sb 1.163 0.721 2.846
Sb 1.163 5.288 5.253
Sb 3.490 8.415 13.352
Sb 3.490 3.847 10.944
Ac 1.163 1.825 12.754
Ac 1.163 6.392 11.542
Ac 3.490 2.743 4.655
Ac 1.163 3.151 8.180
Ac 3.490 0.250 9.819
Ac 3.490 5.984 8.017
Ac 1.163 4.318 1.720
Ac 3.490 4.817 14.477
Ac 3.490 7.311 3.443
Ac 3.490 1.417 0.082
Ac 1.163 7.719 16.115
Ac 1.163 8.886 6.378
Ru 3.490 1.507 7.093
Ru 1.163 3.061 15.192
Ru 1.163 7.629 9.104
Ru 3.490 6.075 1.006
```

Properties
The value obtained for the total energy is -5.7295 eV/atom. The value obtained for the magnetization is 0.00 μB/f.u. As for the space-group type: Pnma (62). As for the relative energy among the computed polymorphs: 0 meV per atom. Its energy relative to the elements, uncorrected is -0.585 eV per atom.

---

Here is a geometry-optimized ScIn2Fe structure from the Alexandria database. Energies are from PBE-GGA.

Cell and atoms, written as extended XYZ:
```
4
Lattice="-0.330 5.288 -0.850 -0.682 1.177 -5.191 -2.464 -3.360 3.382" Properties=species:S:1:pos:R:3 pbc="T T T"
In -1.826 0.525 -2.415
In 0.000 0.000 0.000
Sc -0.506 3.233 -3.021
Fe -1.650 2.581 -0.245
```

Properties
The value obtained for the total energy is -5.0589 eV/atom. The value obtained for the magnetization is 2.29 μB/f.u. As for the space-group type: I-4m2 (119). The value obtained for the formation energy is 0.01 eV per atom.